# TaPtS2N PBE relaxed
data_TaPtS2N
_chemical_formula_sum 'Ta1 Pt1 S2 N1'
_cell_length_a 4.888
_cell_length_b 4.888
_cell_length_c 3.826
_cell_angle_alpha 90.00
_cell_angle_beta 90.00
_cell_angle_gamma 90.00
_space_group_name_H-M_alt 'P 4/m m m'
_space_group_IT_number 123
_space_group_name_Hall '-P 4 2'
loop_
_atom_site_label
_atom_site_type_symbol
_atom_site_fract_x
_atom_site_fract_y
_atom_site_fract_z
Ta1 Ta 0.000 0.000 0.000
Pt1 Pt 0.500 0.500 0.500
S1 S 0.000 0.500 0.000
N1 N 0.000 0.000 0.500
# ΔE to the lowest computed polymorph (meV/atom): 0.0
# Energy relative to the elements, uncorrected (eV/atom): 0.413